Below is a relaxed VO2 crystal, with properties calculated at the PBE with a Hubbard U level.

Calculated values
The value obtained for the density of states at the Fermi level is 0.000 states/eV/atom. Its space group is P4_2/mnm, No. 136. Its energy is -7.77 eV/atom.

a b c (Å): 4.513 4.513 3.038
angles (deg): 90.00 90.00 90.00
Fractional coordinates of all 6 atoms:
1 V 0.000 0.000 0.000
2 V 0.500 0.500 0.500
3 O 0.201 0.201 0.500
4 O 0.299 0.701 0.000
5 O 0.701 0.299 0.000
6 O 0.799 0.799 0.500